--- P ---
LuAsPtO: optimized geometry, PBE-GGA.

abc: 4.8702 4.7193 5.8196
angles: 90.00 90.00 90.00
Space group Pmc2_1 (No. 26)
Asymmetric unit:
Lu  0.0000  0.2343  0.0000 (multiplicity 2)
As  0.5000  0.0982  0.6935 (multiplicity 2)
Pt  0.5000  0.4110  0.3405 (multiplicity 2)
O  0.0000  0.3626  0.3471 (multiplicity 2)

## Properties
* total magnetization: 0.00 μB per formula unit

***

--- Q ---
LuAsPtO: optimized geometry, PBE-GGA.

abc: 5.7190 5.7190 4.5456
angles: 90.00 90.00 90.00
Space group P4/nmm (No. 129, origin choice 2)
Asymmetric unit:
Lu  0.2500  0.7500  0.0000 (multiplicity 2)
As  0.2500  0.2500  0.0951 (multiplicity 2)
Pt  0.2500  0.2500  0.5957 (multiplicity 2)
O  0.2500  0.7500  0.5000 (multiplicity 2)

## Properties
* total magnetization: 0.00 μB per formula unit

***

--- R ---
LuAsPtO: optimized geometry, PBE-GGA.

abc: 4.0576 4.0576 7.9025
angles: 90.00 90.00 90.00
Space group P4/nmm (No. 129, origin choice 2)
Asymmetric unit:
Lu  0.2500  0.2500  0.1209 (multiplicity 2)
As  0.2500  0.2500  0.6899 (multiplicity 2)
Pt  0.2500  0.7500  0.5000 (multiplicity 2)
O  0.2500  0.7500  0.0000 (multiplicity 2)

## Properties
* total magnetization: 0.00 μB per formula unit

***

Among the structures shown above, R is the most stable, with the second-best lying 402 meV/atom higher.